Below is a relaxed structure of Ac4AuS3, with properties calculated at the GGA-PBE level.

The structure in CIF format:
```
data_Ac4AuS3
_space_group_name_H-M_alt 'P 1'
_space_group_IT_number 1
_space_group_name_Hall 'P 1'
_cell_length_a 4.324
_cell_length_b 7.661
_cell_length_c 7.661
_cell_angle_alpha 109.21
_cell_angle_beta 90.00
_cell_angle_gamma 90.00
loop_
_atom_site_label
_atom_site_fract_x
_atom_site_fract_y
_atom_site_fract_z
_atom_site_occupancy
Ac1 0.000 0.254 0.254 1
Ac2 0.500 0.255 0.745 1
Ac3 0.500 0.745 0.255 1
Ac4 0.000 0.746 0.746 1
S1 0.000 0.000 0.500 1
S2 0.500 0.500 0.500 1
S3 0.000 0.500 0.000 1
Au1 0.500 0.000 0.000 1
```

Computed properties:
formation energy (no corrections) = -13.256 eV per formula unit

Below is a relaxed structure of Na2SrF, with properties calculated at the GGA-PBE level.

The structure in CIF format:
```
data_Na2SrF
_space_group_name_H-M_alt 'P 1'
_space_group_IT_number 1
_space_group_name_Hall 'P 1'
_cell_length_a 7.300
_cell_length_b 7.300
_cell_length_c 7.309
_cell_angle_alpha 60.04
_cell_angle_beta 60.04
_cell_angle_gamma 90.00
loop_
_atom_site_label
_atom_site_fract_x
_atom_site_fract_y
_atom_site_fract_z
_atom_site_occupancy
Sr1 0.750 0.250 0.500 1
Sr2 0.000 0.000 0.000 1
Na1 0.375 0.625 0.250 1
Na2 0.875 0.625 0.750 1
Na3 0.375 0.625 0.750 1
Na4 0.375 0.125 0.250 1
F1 0.500 0.500 0.000 1
F2 0.250 0.750 0.500 1
```

Computed properties:
formation energy (no corrections) = -4.599 eV per formula unit
energy above the lowest structure with this stoichiometry = 0.00 eV per formula unit

Below is a relaxed structure of FePdS2Cl, with properties calculated at the GGA-PBE level.

The structure in CIF format:
```
data_FePdS2Cl
_space_group_name_H-M_alt 'P 1'
_space_group_IT_number 1
_space_group_name_Hall 'P 1'
_cell_length_a 4.304
_cell_length_b 4.304
_cell_length_c 4.853
_cell_angle_alpha 90.00
_cell_angle_beta 90.00
_cell_angle_gamma 90.00
loop_
_atom_site_label
_atom_site_fract_x
_atom_site_fract_y
_atom_site_fract_z
_atom_site_occupancy
S1 0.000 0.500 0.000 1
S2 0.500 0.000 0.000 1
Pd1 0.500 0.500 0.500 1
Cl1 0.000 0.000 0.500 1
Fe1 0.000 0.000 0.000 1
```

Computed properties:
formation energy (no corrections) = 2.052 eV per formula unit
energy above the lowest structure with this stoichiometry = 0.00 eV per formula unit

Below is a relaxed structure of Dy2InCo, with properties calculated at the GGA-PBE level.

The structure in CIF format:
```
data_Dy2InCo
_space_group_name_H-M_alt 'P 1'
_space_group_IT_number 1
_space_group_name_Hall 'P 1'
_cell_length_a 5.085
_cell_length_b 5.085
_cell_length_c 5.085
_cell_angle_alpha 60.00
_cell_angle_beta 60.00
_cell_angle_gamma 60.00
loop_
_atom_site_label
_atom_site_fract_x
_atom_site_fract_y
_atom_site_fract_z
_atom_site_occupancy
Dy1 0.250 0.250 0.250 1
Dy2 0.750 0.750 0.750 1
In1 0.500 0.500 0.500 1
Co1 0.000 0.000 0.000 1
```

Computed properties:
formation energy from the elements = -199.0 meV/atom
energy above the lowest structure with this stoichiometry = 0.47 eV per formula unit

Below is a relaxed structure of Hf3Zr2Sc, with properties calculated at the GGA-PBE level.

The structure in CIF format:
```
data_Hf3Zr2Sc
_space_group_name_H-M_alt 'P 1'
_space_group_IT_number 1
_space_group_name_Hall 'P 1'
_cell_length_a 8.200
_cell_length_b 6.184
_cell_length_c 8.200
_cell_angle_alpha 90.00
_cell_angle_beta 41.94
_cell_angle_gamma 90.00
loop_
_atom_site_label
_atom_site_fract_x
_atom_site_fract_y
_atom_site_fract_z
_atom_site_occupancy
Sc1 0.709 0.250 0.291 1
Sc2 0.291 0.750 0.709 1
Hf1 0.706 0.750 0.644 1
Hf2 0.294 0.250 0.356 1
Hf3 0.801 0.750 0.199 1
Hf4 0.199 0.250 0.801 1
Hf5 0.644 0.250 0.706 1
Hf6 0.356 0.750 0.294 1
Zr1 0.845 0.000 0.845 1
Zr2 0.155 0.000 0.155 1
Zr3 0.845 0.500 0.845 1
Zr4 0.155 0.500 0.155 1
```

Computed properties:
formation energy from the elements = 198.9 meV/atom
energy above the lowest structure with this stoichiometry = 0.00 eV per formula unit

Below is a relaxed structure of BH2Se, with properties calculated at the GGA-PBE level.

The structure in CIF format:
```
data_BH2Se
_space_group_name_H-M_alt 'P 1'
_space_group_IT_number 1
_space_group_name_Hall 'P 1'
_cell_length_a 3.286
_cell_length_b 8.219
_cell_length_c 5.255
_cell_angle_alpha 90.00
_cell_angle_beta 90.00
_cell_angle_gamma 126.82
loop_
_atom_site_label
_atom_site_fract_x
_atom_site_fract_y
_atom_site_fract_z
_atom_site_occupancy
H1 0.006 0.338 0.554 1
H2 0.994 0.662 0.446 1
H3 0.006 0.338 0.946 1
H4 0.994 0.662 0.054 1
Se1 0.927 0.951 0.250 1
Se2 0.073 0.049 0.750 1
B1 0.866 0.244 0.750 1
B2 0.134 0.756 0.250 1
```

Computed properties:
energy above the lowest structure with this stoichiometry = 0.00 eV per formula unit

Below is a relaxed structure of Sr2ReB10, with properties calculated at the GGA-PBE level.

The structure in CIF format:
```
data_Sr2ReB10
_space_group_name_H-M_alt 'P 1'
_space_group_IT_number 1
_space_group_name_Hall 'P 1'
_cell_length_a 4.254
_cell_length_b 5.878
_cell_length_c 11.742
_cell_angle_alpha 90.00
_cell_angle_beta 90.00
_cell_angle_gamma 90.00
loop_
_atom_site_label
_atom_site_fract_x
_atom_site_fract_y
_atom_site_fract_z
_atom_site_occupancy
B1 0.701 0.716 0.382 1
B2 0.000 0.121 0.543 1
B3 0.000 0.358 0.197 1
B4 0.000 0.621 0.957 1
B5 0.000 0.553 0.308 1
B6 0.701 0.784 0.882 1
B7 0.000 0.947 0.808 1
B8 0.000 0.879 0.457 1
B9 0.000 0.858 0.303 1
B10 0.000 0.642 0.803 1
B11 0.299 0.284 0.618 1
B12 0.701 0.216 0.118 1
B13 0.000 0.142 0.697 1
B14 0.000 0.053 0.192 1
B15 0.299 0.716 0.382 1
B16 0.701 0.284 0.618 1
B17 0.299 0.216 0.118 1
B18 0.000 0.447 0.692 1
B19 0.000 0.379 0.043 1
B20 0.299 0.784 0.882 1
Sr1 0.500 0.694 0.140 1
Sr2 0.500 0.306 0.860 1
Sr3 0.500 0.194 0.360 1
Sr4 0.500 0.806 0.640 1
Re1 0.000 0.500 0.500 1
Re2 0.000 0.000 0.000 1
```

Computed properties:
formation energy from the elements = -206.8 meV/atom

Below is a relaxed structure of BaZrIn2, with properties calculated at the GGA-PBE level.

The structure in CIF format:
```
data_BaZrIn2
_space_group_name_H-M_alt 'P 1'
_space_group_IT_number 1
_space_group_name_Hall 'P 1'
_cell_length_a 5.488
_cell_length_b 5.488
_cell_length_c 5.488
_cell_angle_alpha 60.00
_cell_angle_beta 60.00
_cell_angle_gamma 60.00
loop_
_atom_site_label
_atom_site_fract_x
_atom_site_fract_y
_atom_site_fract_z
_atom_site_occupancy
Zr1 0.000 0.000 0.000 1
In1 0.750 0.750 0.750 1
In2 0.250 0.250 0.250 1
Ba1 0.500 0.500 0.500 1
```

Computed properties:
formation energy from the elements = 18.8 meV/atom
energy above the lowest structure with this stoichiometry = 1.06 eV per formula unit

| no. | total magnetization (μB/cell) |
| --- | --- |
| 1 | 0.0 |
| 2 | 0.0 |
| 3 | 0.0 |
| 4 | 1.2 |
| 5 | 0.0 |
| 6 | 0.0 |
| 7 | 3.0 |
| 8 | 0.0 |